[1]
This record from Alexandria via LeMat-Bulk describes crystalline TbZrFeIr at its relaxed geometry. The functional is PBE.

## Properties
The calculation puts the raw total energy at -8.008 eV/atom.

Structure (POSCAR):
```
TbZrFeIr
1.0
0.000 3.330 3.330
3.330 0.000 3.330
3.330 3.330 0.000
Tb Zr Fe Ir
1 1 1 1
direct
0.000 0.000 0.000 Tb
0.500 0.500 0.500 Zr
0.750 0.750 0.750 Fe
0.250 0.250 0.250 Ir
```

***

[2]
This record from Alexandria via LeMat-Bulk describes crystalline Ho2CdAg at its relaxed geometry. The functional is PBE.

## Properties
The calculation puts the raw total energy at -3.549 eV/atom.

Structure (POSCAR):
```
Ho2CdAg
1.0
3.670 0.000 0.000
0.000 3.670 0.000
0.000 0.000 7.353
Ho Cd Ag
2 1 1
direct
0.000 0.000 0.242 Ho
0.000 0.000 0.758 Ho
0.500 0.500 0.500 Cd
0.500 0.500 0.000 Ag
```

***

[3]
This record from Alexandria via LeMat-Bulk describes crystalline In4SnHg7 at its relaxed geometry. The functional is PBE.

## Properties
The calculation puts the raw total energy at -1.407 eV/atom. The distance to the lowest polymorph of the same formula is 0 meV/atom.

Structure (POSCAR):
```
In4SnHg7
1.0
6.077 0.000 0.000
-1.162 6.157 0.000
-0.905 -1.206 8.557
In Sn Hg
4 1 7
direct
0.156 0.465 0.334 In
0.343 0.215 0.669 In
0.657 0.785 0.331 In
0.844 0.535 0.666 In
0.500 0.000 0.000 Sn
0.005 0.752 0.000 Hg
0.166 0.965 0.337 Hg
0.355 0.717 0.665 Hg
0.500 0.500 0.000 Hg
0.645 0.283 0.335 Hg
0.834 0.035 0.663 Hg
0.995 0.248 0.000 Hg
```

***

| no. | DFT formation energy (eV per atom) |
| --- | --- |
| 1 | -0.382 |
| 2 | -0.319 |
| 3 | 0.015 |